[1]
DFT (PBE-GGA) results for an optimized crystal structure of CdPd4Pb2.

Calculated values
The calculation puts the total DFT energy (no corrections) at -4.36 eV/atom. The size of the total moment is 0.00 μB per cell.

Unit cell a=6.2690 b=7.4676 c=7.4031 alpha=113.61 beta=107.43 gamma=104.23
With the nearest neighbours (Å) after each atom.
Positions (direct):
Cd  0.0229  0.9560  0.9580  7 Pd 2.76-2.93
Pd  0.5780  0.8386  0.9745  4 Pb 2.73-2.90, 2 Cd 2.77-2.82, 1 Pd 3.05
Cd  0.3144  0.7478  0.5421  7 Pd 2.76-2.93
Pd  0.7536  0.1502  0.7899  4 Pb 2.79-3.02, 2 Cd 2.81-2.91, 3 Pd 2.95-3.08
Pb  0.5971  0.2485  0.1191  7 Pd 2.73-2.90
Pd  0.0260  0.2369  0.3711  4 Pb 2.82-2.97, 4 Pd 2.86-3.05, 1 Cd 2.93
Pd  0.8526  0.6141  0.5254  4 Pb 2.73-2.90, 2 Cd 2.77-2.82, 1 Pd 3.05
Pd  0.2528  0.4117  0.1610  2 Cd 2.76-2.85, 2 Pb 2.76-2.77, 4 Pd 2.86-3.08
Pb  0.1247  0.5126  0.8345  7 Pd 2.77-3.02
Pb  0.5402  0.4279  0.6655  7 Pd 2.76-3.02
Pd  0.2136  0.1104  0.7101  4 Pb 2.79-3.02, 2 Cd 2.81-2.91, 3 Pd 2.95-3.08
Pb  0.7278  0.8795  0.3807  7 Pd 2.73-2.90
Pd  0.3414  0.0004  0.3391  2 Cd 2.76-2.85, 2 Pb 2.76, 4 Pd 2.86-3.08
Pd  0.9047  0.6156  0.1289  4 Pb 2.82-2.97, 4 Pd 2.86-3.05, 1 Cd 2.93



[2]
DFT (PBE-GGA) results for an optimized crystal structure of CdPdPb.

Calculated values
The calculation puts the total DFT energy (no corrections) at -3.48 eV/atom. The size of the total moment is 0.00 μB per cell.

Unit cell a=4.6714 b=4.6714 c=4.6714 alpha=60.00 beta=60.00 gamma=60.00
With the nearest neighbours (Å) after each atom.
Positions (direct):
Pb  0.0000  0.0000  0.0000  4 Pd 2.86
Cd  0.5000  0.5000  0.5000  4 Pd 2.86
Pd  0.2500  0.2500  0.2500  4 Cd 2.86, 4 Pb 2.86



[3]
DFT (PBE-GGA) results for an optimized crystal structure of Cd4Pd7Pb.

Calculated values
The calculation puts the total DFT energy (no corrections) at -3.81 eV/atom. The size of the total moment is 0.00 μB per cell.

Unit cell a=5.0477 b=9.0744 c=5.8220 alpha=82.61 beta=64.31 gamma=73.85
With the nearest neighbours (Å) after each atom.
Positions (direct):
Pd  0.0371  0.6215  0.3042  4 Cd 2.78-2.89, 5 Pd 2.80-2.94
Pd  0.9629  0.3785  0.6958  4 Cd 2.78-2.89, 5 Pd 2.80-2.94
Pd  0.5000  0.0000  0.0000  2 Pb 2.52, 2 Pd 2.75
Pd  0.7923  0.9208  0.4945  1 Pb 2.68, 4 Pd 2.75-2.88, 4 Cd 2.75-2.89
Cd  0.2635  0.3164  0.1566  7 Pd 2.75-2.89, 1 Cd 3.06
Cd  0.4120  0.7676  0.4084  8 Pd 2.77-2.93, 1 Cd 3.06
Pd  0.3455  0.5345  0.7746  5 Cd 2.75-2.86, 4 Pd 2.89-2.95
Cd  0.7365  0.6836  0.8434  7 Pd 2.75-2.89, 1 Cd 3.06
Pb  0.0000  0.0000  0.0000  4 Pd 2.52-2.68
Pd  0.2077  0.0792  0.5055  1 Pb 2.68, 4 Pd 2.75-2.88, 4 Cd 2.75-2.89
Pd  0.6545  0.4655  0.2254  5 Cd 2.75-2.86, 4 Pd 2.89-2.95
Cd  0.5880  0.2324  0.5916  8 Pd 2.77-2.93, 1 Cd 3.06